[1]
## CsPm2CuTe4 (GGA-PBE)

Data for an optimized crystal structure of CsPm2CuTe4.

E_tot	-36.01	eV per formula unit

Lattice parameters (Å, degrees): 4.510 15.815 15.707 90.00 90.00 90.00
Space group Cmcm (No. 63)
Unique sites:
Cs 0.000 0.108 0.250 x4
Pm 0.000 0.366 0.062 x8
Cu 0.000 0.163 0.750 x4
Te 0.000 0.000 0.000 x4
Te 0.000 0.262 0.612 x8
Te 0.000 0.426 0.250 x4


[2]
## CsPrCu (GGA-PBE)

Data for an optimized crystal structure of CsPrCu.

polymorph energy (0 for the lowest one)	0.0000	eV per atom

Lattice parameters (Å, degrees): 7.555 7.555 7.555 90.00 90.00 90.00
Space group F-43m (No. 216)
Unique sites:
Cs 0.000 0.000 0.000 x4
Pr 0.000 0.000 0.500 x4
Cu 0.250 0.250 0.250 x4


[3]
## Cs2Pr4Cu4S9 (GGA-PBE)

Data for an optimized crystal structure of Cs2Pr4Cu4S9.

E_tot	-98.95	eV per formula unit

Lattice parameters (Å, degrees): 14.380 4.088 16.773 90.00 108.01 90.00
Space group C2/m (No. 12)
Unique sites:
Cs 0.027 0.000 0.267 x4
Pr 0.154 0.500 0.553 x4
Pr 0.228 0.000 0.101 x4
Cu 0.072 0.500 0.964 x4
Cu 0.237 0.000 0.715 x4
S 0.000 0.000 0.500 x2
S 0.099 0.500 0.115 x4
S 0.138 0.000 0.926 x4
S 0.165 0.500 0.724 x4
S 0.203 0.500 0.400 x4


[4]
## CsPr2CuSe3S (GGA-PBE)

Data for an optimized crystal structure of CsPr2CuSe3S.

polymorph energy (0 for the lowest one)	0.0000	eV per atom

Lattice parameters (Å, degrees): 4.254 14.967 14.658 90.00 90.00 90.00
Space group Cmcm (No. 63)
Unique sites:
Cs 0.000 0.099 0.250 x4
Pr 0.000 0.366 0.065 x8
Cu 0.000 0.161 0.750 x4
Se 0.000 0.000 0.000 x4
Se 0.000 0.261 0.613 x8
S 0.000 0.416 0.250 x4